This record from Alexandria via LeMat-Bulk describes an optimized crystal structure of BaLiSm2O4. The functional is PBE.

Results
**Magnetization**: 0.00 μB/f.u.
**Formation energy without anion corrections**: -2.745 eV/atom
**Space group**: No. 63

Cell and atoms, written as CIF:
```
data_BaLiSm2O4
_chemical_formula_sum 'Ba2 Li2 Sm4 O8'
_space_group_name_H-M_alt 'P 1'
_space_group_IT_number 1
_space_group_name_Hall 'P 1'
_cell_length_a 3.576
_cell_length_b 6.192
_cell_length_c 11.738
_cell_angle_alpha 90.00
_cell_angle_beta 90.00
_cell_angle_gamma 106.79
loop_
_atom_site_label
_atom_site_type_symbol
_atom_site_fract_x
_atom_site_fract_y
_atom_site_fract_z
_atom_site_occupancy
Sm1 Sm 0.370 0.739 0.554 1
Li1 Li 0.828 0.656 0.750 1
Sm2 Sm 0.370 0.739 0.946 1
O1 O 0.584 0.169 0.250 1
Sm3 Sm 0.630 0.261 0.054 1
O2 O 0.259 0.518 0.112 1
O3 O 0.741 0.482 0.888 1
O4 O 0.259 0.518 0.388 1
Ba1 Ba 0.101 0.201 0.750 1
O5 O 0.000 0.000 0.000 1
O6 O 0.416 0.831 0.750 1
O7 O 0.741 0.482 0.612 1
O8 O 0.000 0.000 0.500 1
Sm4 Sm 0.630 0.261 0.446 1
Ba2 Ba 0.899 0.799 0.250 1
Li2 Li 0.172 0.344 0.250 1
```

=====

This record from Alexandria via LeMat-Bulk describes an optimized crystal structure of BaLi2SnO. The functional is PBE.

Results
**Magnetization**: 0.00 μB/f.u.
**Formation energy without anion corrections**: -0.417 eV/atom
**Space group**: No. 123

Cell and atoms, written as CIF:
```
data_BaLi2SnO
_chemical_formula_sum 'Ba1 Li2 Sn1 O1'
_space_group_name_H-M_alt 'P 1'
_space_group_IT_number 1
_space_group_name_Hall 'P 1'
_cell_length_a 4.972
_cell_length_b 4.851
_cell_length_c 4.972
_cell_angle_alpha 90.00
_cell_angle_beta 90.00
_cell_angle_gamma 90.00
loop_
_atom_site_label
_atom_site_type_symbol
_atom_site_fract_x
_atom_site_fract_y
_atom_site_fract_z
_atom_site_occupancy
O1 O 0.000 0.500 0.000 1
Li1 Li 0.000 0.000 0.500 1
Ba1 Ba 0.500 0.500 0.500 1
Sn1 Sn 0.000 0.000 0.000 1
Li2 Li 0.500 0.000 0.000 1
```

=====

This record from Alexandria via LeMat-Bulk describes an optimized crystal structure of Ba4LiSn3O12. The functional is PBE.

Results
**Magnetization**: 3.11 μB/f.u.
**Formation energy without anion corrections**: -1.937 eV/atom
**Space group**: No. 229

Cell and atoms, written as CIF:
```
data_Ba4LiSn3O12
_chemical_formula_sum 'Ba4 Li1 Sn3 O12'
_space_group_name_H-M_alt 'P 1'
_space_group_IT_number 1
_space_group_name_Hall 'P 1'
_cell_length_a 7.306
_cell_length_b 7.306
_cell_length_c 7.306
_cell_angle_alpha 109.47
_cell_angle_beta 109.47
_cell_angle_gamma 109.47
loop_
_atom_site_label
_atom_site_type_symbol
_atom_site_fract_x
_atom_site_fract_y
_atom_site_fract_z
_atom_site_occupancy
O1 O 0.259 0.259 0.000 1
O2 O 0.750 0.250 0.500 1
O3 O 0.250 0.750 0.500 1
O4 O 0.750 0.500 0.250 1
Li1 Li 0.000 0.000 0.000 1
Sn1 Sn 0.500 0.000 0.500 1
O5 O 0.259 0.000 0.259 1
Sn2 Sn 0.500 0.500 0.000 1
O6 O 0.500 0.250 0.750 1
Ba1 Ba 0.500 0.500 0.500 1
O7 O 0.000 0.741 0.741 1
Ba2 Ba 0.000 0.500 0.000 1
O8 O 0.741 0.000 0.741 1
Ba3 Ba 0.000 0.000 0.500 1
O9 O 0.500 0.750 0.250 1
Ba4 Ba 0.500 0.000 0.000 1
O10 O 0.741 0.741 0.000 1
O11 O 0.250 0.500 0.750 1
O12 O 0.000 0.259 0.259 1
Sn3 Sn 0.000 0.500 0.500 1
```

=====

This record from Alexandria via LeMat-Bulk describes an optimized crystal structure of Ba2LiSnO. The functional is PBE.

Results
**Magnetization**: 0.00 μB/f.u.
**Formation energy without anion corrections**: -1.231 eV/atom
**Space group**: No. 123

Cell and atoms, written as CIF:
```
data_Ba2LiSnO
_chemical_formula_sum 'Ba2 Li1 Sn1 O1'
_space_group_name_H-M_alt 'P 1'
_space_group_IT_number 1
_space_group_name_Hall 'P 1'
_cell_length_a 5.825
_cell_length_b 5.825
_cell_length_c 4.138
_cell_angle_alpha 90.00
_cell_angle_beta 90.00
_cell_angle_gamma 90.00
loop_
_atom_site_label
_atom_site_type_symbol
_atom_site_fract_x
_atom_site_fract_y
_atom_site_fract_z
_atom_site_occupancy
Li1 Li 0.000 0.000 0.500 1
Ba1 Ba 0.500 0.000 0.000 1
O1 O 0.000 0.000 0.000 1
Sn1 Sn 0.500 0.500 0.500 1
Ba2 Ba 0.000 0.500 0.000 1
```

=====

This record from Alexandria via LeMat-Bulk describes an optimized crystal structure of Ba3Li2SnO6. The functional is PBE.

Results
**Magnetization**: 0.00 μB/f.u.
**Formation energy without anion corrections**: -2.127 eV/atom
**Space group**: No. 164

Cell and atoms, written as CIF:
```
data_Ba3Li2SnO6
_chemical_formula_sum 'Ba3 Li2 Sn1 O6'
_space_group_name_H-M_alt 'P 1'
_space_group_IT_number 1
_space_group_name_Hall 'P 1'
_cell_length_a 6.016
_cell_length_b 6.016
_cell_length_c 6.769
_cell_angle_alpha 90.00
_cell_angle_beta 90.00
_cell_angle_gamma 120.00
loop_
_atom_site_label
_atom_site_type_symbol
_atom_site_fract_x
_atom_site_fract_y
_atom_site_fract_z
_atom_site_occupancy
O1 O 0.836 0.164 0.687 1
Li1 Li 0.667 0.333 0.767 1
Ba1 Ba 0.667 0.333 0.361 1
O2 O 0.164 0.836 0.313 1
O3 O 0.164 0.328 0.313 1
Li2 Li 0.333 0.667 0.233 1
O4 O 0.328 0.164 0.687 1
Sn1 Sn 0.000 0.000 0.500 1
O5 O 0.672 0.836 0.313 1
O6 O 0.836 0.672 0.687 1
Ba2 Ba 0.333 0.667 0.639 1
Ba3 Ba 0.000 0.000 0.000 1
```

=====

This record from Alexandria via LeMat-Bulk describes an optimized crystal structure of Ba2LiTbSnO6. The functional is PBE.

Results
**Energy relative to the lowest polymorph listed for this composition**: 0.0 meV per atom
**Magnetization**: 0.00 μB/f.u.
**Formation energy without anion corrections**: -2.417 eV/atom
**Space group**: No. 160

Cell and atoms, written as CIF:
```
data_Ba2LiTbSnO6
_chemical_formula_sum 'Ba2 Li1 Tb1 Sn1 O6'
_space_group_name_H-M_alt 'P 1'
_space_group_IT_number 1
_space_group_name_Hall 'P 1'
_cell_length_a 6.480
_cell_length_b 6.480
_cell_length_c 6.480
_cell_angle_alpha 55.31
_cell_angle_beta 55.31
_cell_angle_gamma 55.31
loop_
_atom_site_label
_atom_site_type_symbol
_atom_site_fract_x
_atom_site_fract_y
_atom_site_fract_z
_atom_site_occupancy
Li1 Li 0.627 0.627 0.627 1
O1 O 0.734 0.254 0.734 1
Ba1 Ba 0.788 0.788 0.788 1
O2 O 0.751 0.252 0.252 1
O3 O 0.252 0.252 0.751 1
O4 O 0.734 0.734 0.254 1
Ba2 Ba 0.235 0.235 0.235 1
Sn1 Sn 0.483 0.483 0.483 1
O5 O 0.254 0.734 0.734 1
Tb1 Tb 0.001 0.001 0.001 1
O6 O 0.252 0.751 0.252 1
```

=====

This record from Alexandria via LeMat-Bulk describes an optimized crystal structure of Ba2LiTbSnO6. The functional is PBE.

Results
**Energy relative to the lowest polymorph listed for this composition**: 21.7 meV per atom
**Magnetization**: 0.00 μB/f.u.
**Formation energy without anion corrections**: -2.396 eV/atom
**Space group**: No. 160

Cell and atoms, written as CIF:
```
data_Ba2LiTbSnO6
_chemical_formula_sum 'Ba2 Li1 Tb1 Sn1 O6'
_space_group_name_H-M_alt 'P 1'
_space_group_IT_number 1
_space_group_name_Hall 'P 1'
_cell_length_a 6.472
_cell_length_b 6.472
_cell_length_c 6.472
_cell_angle_alpha 55.23
_cell_angle_beta 55.23
_cell_angle_gamma 55.23
loop_
_atom_site_label
_atom_site_type_symbol
_atom_site_fract_x
_atom_site_fract_y
_atom_site_fract_z
_atom_site_occupancy
Li1 Li 0.129 0.129 0.129 1
Ba1 Ba 0.763 0.763 0.763 1
O1 O 0.735 0.246 0.735 1
Tb1 Tb 0.980 0.980 0.980 1
O2 O 0.246 0.735 0.735 1
O3 O 0.735 0.735 0.246 1
Sn1 Sn 0.499 0.499 0.499 1
O4 O 0.252 0.746 0.252 1
O5 O 0.746 0.252 0.252 1
O6 O 0.252 0.252 0.746 1
Ba2 Ba 0.291 0.291 0.291 1
```

=====

This record from Alexandria via LeMat-Bulk describes an optimized crystal structure of BaSrLiO2. The functional is PBE.

Results
**Magnetization**: 0.00 μB/f.u.
**Formation energy without anion corrections**: -0.976 eV/atom
**Space group**: No. 123

Cell and atoms, written as CIF:
```
data_BaSrLiO2
_chemical_formula_sum 'Ba1 Sr1 Li1 O2'
_space_group_name_H-M_alt 'P 1'
_space_group_IT_number 1
_space_group_name_Hall 'P 1'
_cell_length_a 4.824
_cell_length_b 4.774
_cell_length_c 4.824
_cell_angle_alpha 90.00
_cell_angle_beta 90.00
_cell_angle_gamma 90.00
loop_
_atom_site_label
_atom_site_type_symbol
_atom_site_fract_x
_atom_site_fract_y
_atom_site_fract_z
_atom_site_occupancy
Sr1 Sr 0.000 0.000 0.000 1
Li1 Li 0.000 0.500 0.000 1
Ba1 Ba 0.500 0.500 0.500 1
O1 O 0.000 0.000 0.500 1
O2 O 0.500 0.000 0.000 1
```

=====

Short version: uncorrected energy = -6.88 -3.36 -5.99 -4.17 -5.74 -6.43 -6.41 -4.06 eV/atom, in the order given.